{
  "formula": "ZrSc2Sb",
  "functional": "PBE",
  "state": "relaxed",
  "space_group": "R-3m (166)",
  "e_form_raw_ev_per_atom": 0.04,
  "rho_g_cm3": 4.90,
  "lattice": [[-9.129, -5.255, 3.212], [-7.742, -7.694, 1.463], [-6.892, -7.238, 4.626]],
  "species": ["Sc", "Sc", "Sb", "Zr"],
  "frac_coords": [[0.910, 0.910, 0.910], [0.090, 0.090, 0.090], [0.000, 0.000, 0.000], [0.500, 0.500, 0.500]]
}